Here is a geometry-optimized Sm7Ho3 structure from the Alexandria database. Energies are from PBE.

a b c (Å): 9.5052 9.5052 7.2048
angles (deg): 100.95 100.95 31.03
With the nearest neighbours (Å) after each atom.
Positions (direct):
Sm (0.0000, 0.0000, 0.0000)  8 Sm 3.59-3.60, 4 Ho 3.60-3.61
Sm (0.2002, 0.2002, 0.6003)  5 Ho 3.59-3.61, 7 Sm 3.59-3.60
Sm (0.3997, 0.3997, 0.1993)  5 Ho 3.57-3.60, 7 Sm 3.59-3.61
Sm (0.4001, 0.4001, 0.7009)  8 Sm 3.59-3.61, 4 Ho 3.60
Sm (0.5999, 0.5999, 0.2991)  8 Sm 3.59-3.61, 4 Ho 3.60
Sm (0.6003, 0.6003, 0.8007)  5 Ho 3.57-3.60, 7 Sm 3.59-3.61
Sm (0.7998, 0.7998, 0.3997)  5 Ho 3.59-3.61, 7 Sm 3.59-3.60
Ho (0.0000, 0.0000, 0.5000)  12 Sm 3.59-3.60
Ho (0.2009, 0.2009, 0.1001)  10 Sm 3.57-3.61, 2 Ho 3.58
Ho (0.7991, 0.7991, 0.8999)  10 Sm 3.57-3.61, 2 Ho 3.58

Properties
magnetization = 0.00 μB per cell
E_tot = -4.661 eV/atom
ΔH_f (0 K) = 15 meV/atom